Entry from Alexandria via LeMat-Bulk: a relaxed LiTaW2 crystal (PBE-GGA).

The energy of formation is 2.2 eV per formula unit. As for the excess energy over the best structure of this formula in the dataset: 0.294 eV per atom. The density of states at the Fermi level comes out at 4.7 states/eV/f.u. The value obtained for the volume is 15.920 A^3/atom. As for the theoretical density: 14.5 g/cm3.

Lattice parameters (Å, degrees): 4.4823 4.4823 4.4823 60.00 60.00 60.00
Last column: nearest neighbours and their distance in Å.
Atoms (fractional coordinates):
Li 0.0000 0.0000 0.0000  8 W 2.74
W 0.2500 0.2500 0.2500  4 Ta 2.74, 4 Li 2.74
Ta 0.5000 0.5000 0.5000  8 W 2.74
W 0.7500 0.7500 0.7500  4 Ta 2.74, 4 Li 2.74


Entry from Alexandria via LeMat-Bulk: a relaxed Tm7Hg2Pd2 crystal (PBE-GGA).

The energy of formation is -3.9 eV per formula unit. The density of states at the Fermi level comes out at 11.0 states/eV/f.u. The value obtained for the volume is 27.611 A^3/atom. As for the theoretical density: 9.8 g/cm3.

Lattice parameters (Å, degrees): 6.7163 7.0664 6.7163 90.00 107.67 90.00
Last column: nearest neighbours and their distance in Å.
Atoms (fractional coordinates):
Pd 0.7099 0.0000 0.2901  6 Tm 2.73-2.88
Tm 0.5003 0.7422 0.9998  2 Pd 2.73
Tm 0.0000 0.0000 0.0000  2 Pd 3.15
Tm 0.4997 0.2578 0.0002  2 Pd 2.73
Tm 0.4998 0.2499 0.5002  2 Pd 2.88, 2 Hg 3.07
Tm 0.0002 0.7422 0.4997  2 Pd 2.73
Tm 0.5002 0.7501 0.4998  2 Pd 2.88, 2 Hg 3.07
Pd 0.2901 0.0000 0.7099  6 Tm 2.73-2.88
Hg 0.1841 0.5000 0.1841  1 Hg 2.92, 6 Tm 3.07-3.25
Tm 0.9998 0.2578 0.5003  2 Pd 2.73
Hg 0.8159 0.5000 0.8159  1 Hg 2.92, 6 Tm 3.07-3.25


Entry from Alexandria via LeMat-Bulk: a relaxed YSi2Se crystal (PBE-GGA).

The density of states at the Fermi level comes out at 2.3 states/eV/f.u. The value obtained for the uncorrected formation energy is -0.27 eV per atom. The value obtained for the volume is 21.655 A^3/atom. As for the theoretical density: 4.3 g/cm3.

Lattice parameters (Å, degrees): 3.7367 4.2537 5.7928 70.18 90.00 90.00
Last column: nearest neighbours and their distance in Å.
Atoms (fractional coordinates):
Se 0.5000 0.7500 0.7500  4 Si 2.69, 2 Y 2.96
Si 0.0000 0.8842 0.0370  1 Si 2.34
Si 0.0000 0.6158 0.4630  1 Si 2.34
Y 0.5000 0.2500 0.2500  2 Se 2.96, 8 Si 2.96-3.17


Question: volume of number 3 (YSi2Se)?
Answer: 21.655 A^3/atom


Copy entry 2 word for word.
Entry from Alexandria via LeMat-Bulk: a relaxed Tm7Hg2Pd2 crystal (PBE-GGA).

The energy of formation is -3.9 eV per formula unit. The density of states at the Fermi level comes out at 11.0 states/eV/f.u. The value obtained for the volume is 27.611 A^3/atom. As for the theoretical density: 9.8 g/cm3.

Lattice parameters (Å, degrees): 6.7163 7.0664 6.7163 90.00 107.67 90.00
Last column: nearest neighbours and their distance in Å.
Atoms (fractional coordinates):
Pd 0.7099 0.0000 0.2901  6 Tm 2.73-2.88
Tm 0.5003 0.7422 0.9998  2 Pd 2.73
Tm 0.0000 0.0000 0.0000  2 Pd 3.15
Tm 0.4997 0.2578 0.0002  2 Pd 2.73
Tm 0.4998 0.2499 0.5002  2 Pd 2.88, 2 Hg 3.07
Tm 0.0002 0.7422 0.4997  2 Pd 2.73
Tm 0.5002 0.7501 0.4998  2 Pd 2.88, 2 Hg 3.07
Pd 0.2901 0.0000 0.7099  6 Tm 2.73-2.88
Hg 0.1841 0.5000 0.1841  1 Hg 2.92, 6 Tm 3.07-3.25
Tm 0.9998 0.2578 0.5003  2 Pd 2.73
Hg 0.8159 0.5000 0.8159  1 Hg 2.92, 6 Tm 3.07-3.25